Below is a geometry-optimized Nd2Dy3Tm structure, with properties calculated at the GGA-PBE level.

Structure (POSCAR):
```
Nd2Dy3Tm
1.0
9.7734 -2.5494 0.0000
9.7734 2.5494 0.0000
-0.1853 0.0000 8.1777
Nd Dy Tm
4 6 2
direct
0.1028 0.1028 0.4339
0.3527 0.3527 0.2631
0.6473 0.6473 0.7369
0.8972 0.8972 0.5661
0.1916 0.1916 0.0524
0.2662 0.2662 0.6491
0.4269 0.4269 0.8710
0.5731 0.5731 0.1290
0.7338 0.7338 0.3509
0.8084 0.8084 0.9476
0.0441 0.0441 0.8433
0.9559 0.9559 0.1567
```

* spin magnetization: 0.0 Bohr magnetons per cell
* D(E_F): 8.45 states/eV/f.u.
* E above lowest polymorph: 49 meV/atom
* formation energy from the elements: 0.147 eV/atom

Below is a geometry-optimized Nd2Dy8Tm3 structure, with properties calculated at the GGA-PBE level.

Structure (POSCAR):
```
Nd2Dy8Tm3
1.0
12.1994 0.0000 0.0000
0.0000 19.3734 0.0000
0.0000 0.0000 3.5522
Nd Dy Tm
4 16 6
direct
0.1670 0.1293 0.0000
0.3330 0.6293 0.0000
0.6670 0.3707 0.0000
0.8330 0.8707 0.0000
0.0167 0.5834 0.0000
0.1219 0.8628 0.0000
0.1490 0.2986 0.5000
0.2105 0.4809 0.5000
0.2895 0.9809 0.5000
0.3510 0.7986 0.5000
0.3781 0.3628 0.0000
0.4833 0.0834 0.0000
0.5167 0.9166 0.0000
0.6219 0.6372 0.0000
0.6490 0.2014 0.5000
0.7105 0.0191 0.5000
0.7895 0.5191 0.5000
0.8510 0.7014 0.5000
0.8781 0.1372 0.0000
0.9833 0.4166 0.0000
0.0000 0.0000 0.5000
0.1239 0.7121 0.5000
0.3761 0.2121 0.5000
0.5000 0.5000 0.5000
0.6239 0.7879 0.5000
0.8761 0.2879 0.5000
```

* spin magnetization: 0.0 Bohr magnetons per cell
* D(E_F): 17.28 states/eV/f.u.
* E above lowest polymorph: 0 meV/atom
* formation energy from the elements: 0.071 eV/atom

Below is a geometry-optimized NdDy2Tm2 structure, with properties calculated at the GGA-PBE level.

Structure (POSCAR):
```
NdDy2Tm2
1.0
3.4976 0.0000 0.0000
0.0000 2.8472 8.1538
0.0000 -2.8472 8.1538
Nd Dy Tm
1 2 2
direct
0.0000 0.0000 0.0000
0.0000 0.3812 0.3812
0.5000 0.5737 0.5737
0.0000 0.7620 0.7620
0.5000 0.1930 0.1930
```

* spin magnetization: 0.0 Bohr magnetons per cell
* D(E_F): 9.12 states/eV/f.u.
* E above lowest polymorph: 37 meV/atom
* formation energy from the elements: 0.123 eV/atom

Below is a geometry-optimized NdDy5Tm2 structure, with properties calculated at the GGA-PBE level.

Structure (POSCAR):
```
NdDy5Tm2
1.0
6.6990 0.0000 0.0000
2.7949 8.7360 0.0000
2.7968 -0.2458 8.7397
Nd Dy Tm
2 10 4
direct
0.1265 0.2297 0.3949
0.8735 0.7703 0.6051
0.1232 0.8958 0.2294
0.1265 0.7279 0.8978
0.3741 0.0223 0.8545
0.3754 0.3546 0.0190
0.3768 0.5223 0.3538
0.6232 0.4777 0.6462
0.6246 0.6454 0.9810
0.6259 0.9777 0.1455
0.8735 0.2721 0.1022
0.8768 0.1042 0.7706
0.1262 0.3954 0.7297
0.3759 0.8538 0.5208
0.6241 0.1462 0.4792
0.8738 0.6046 0.2703
```

* spin magnetization: 0.0 Bohr magnetons per cell
* D(E_F): 14.32 states/eV/f.u.
* E above lowest polymorph: 0 meV/atom
* formation energy from the elements: 0.010 eV/atom

Below is a geometry-optimized Nd8Dy6Tm structure, with properties calculated at the GGA-PBE level.

Structure (POSCAR):
```
Nd8Dy6Tm
1.0
4.9339 2.8486 5.9755
-4.9339 2.8486 5.9755
0.0000 -5.6972 5.9755
Nd Dy Tm
8 6 1
direct
0.0874 0.0874 0.0874
0.1460 0.2736 0.5674
0.2736 0.5674 0.1460
0.4326 0.8540 0.7264
0.5674 0.1460 0.2736
0.7264 0.4326 0.8540
0.8540 0.7264 0.4326
0.9126 0.9126 0.9126
0.1119 0.5737 0.7846
0.2154 0.8881 0.4263
0.4263 0.2154 0.8881
0.5737 0.7846 0.1119
0.7846 0.1119 0.5737
0.8881 0.4263 0.2154
0.5000 0.5000 0.5000
```

* spin magnetization: 0.0 Bohr magnetons per cell
* D(E_F): 22.47 states/eV/f.u.
* E above lowest polymorph: 48 meV/atom
* formation energy from the elements: 0.170 eV/atom

Below is a geometry-optimized Nd5Dy4Tm2 structure, with properties calculated at the GGA-PBE level.

Structure (POSCAR):
```
Nd5Dy4Tm2
1.0
8.8309 -1.7765 0.0000
8.8309 1.7765 0.0000
-0.8059 0.0000 11.6057
Nd Dy Tm
5 4 2
direct
0.0000 0.0000 0.0000
0.3230 0.3230 0.9287
0.4025 0.4025 0.4642
0.5975 0.5975 0.5358
0.6770 0.6770 0.0713
0.1408 0.1408 0.7945
0.4632 0.4632 0.7388
0.5368 0.5368 0.2612
0.8592 0.8592 0.2055
0.2155 0.2155 0.3528
0.7845 0.7845 0.6472
```

* spin magnetization: 0.0 Bohr magnetons per cell
* D(E_F): 15.13 states/eV/f.u.
* E above lowest polymorph: 0 meV/atom
* formation energy from the elements: 0.076 eV/atom

Below is a geometry-optimized NdDy3Tm12 structure, with properties calculated at the GGA-PBE level.

Structure (POSCAR):
```
NdDy3Tm12
1.0
4.9613 0.0000 0.0000
0.0000 4.9613 0.0000
0.0000 0.0000 19.8580
Nd Dy Tm
1 3 12
direct
0.0000 0.0000 0.0000
0.0000 0.0000 0.2509
0.0000 0.0000 0.5000
0.0000 0.0000 0.7491
0.0000 0.5000 0.1268
0.0000 0.5000 0.3756
0.0000 0.5000 0.6244
0.0000 0.5000 0.8732
0.5000 0.0000 0.1268
0.5000 0.0000 0.3756
0.5000 0.0000 0.6244
0.5000 0.0000 0.8732
0.5000 0.5000 0.0000
0.5000 0.5000 0.2514
0.5000 0.5000 0.5000
0.5000 0.5000 0.7486
```

* spin magnetization: 0.0 Bohr magnetons per cell
* D(E_F): 21.59 states/eV/f.u.
* formation energy from the elements: 0.026 eV/atom

Below is a geometry-optimized Nd5Dy3Tm4 structure, with properties calculated at the GGA-PBE level.

Structure (POSCAR):
```
Nd5Dy3Tm4
1.0
4.8673 -2.9050 0.0000
4.8673 2.9050 0.0000
-4.8223 0.0000 14.1615
Nd Dy Tm
5 3 4
direct
0.0000 0.0000 0.0000
0.3318 0.3318 0.5008
0.4537 0.4537 0.7532
0.5463 0.5463 0.2468
0.6682 0.6682 0.4992
0.2059 0.2059 0.2493
0.5000 0.5000 0.0000
0.7941 0.7941 0.7507
0.0609 0.0609 0.6237
0.1757 0.1757 0.8544
0.8243 0.8243 0.1456
0.9391 0.9391 0.3763
```

* spin magnetization: 0.0 Bohr magnetons per cell
* D(E_F): 19.48 states/eV/f.u.
* formation energy from the elements: 0.232 eV/atom

Below is a geometry-optimized Nd4Dy3Tm4 structure, with properties calculated at the GGA-PBE level.

Structure (POSCAR):
```
Nd4Dy3Tm4
1.0
19.8186 -1.7900 0.0000
19.8186 1.7900 0.0000
-0.6390 0.0000 4.9949
Nd Dy Tm
4 3 4
direct
0.0460 0.0460 0.0454
0.3177 0.3177 0.3179
0.6823 0.6823 0.6821
0.9540 0.9540 0.9546
0.1364 0.1364 0.1358
0.5000 0.5000 0.5000
0.8636 0.8636 0.8642
0.2278 0.2278 0.2278
0.4081 0.4081 0.4088
0.5919 0.5919 0.5912
0.7722 0.7722 0.7722
```

* spin magnetization: 0.0 Bohr magnetons per cell
* D(E_F): 14.11 states/eV/f.u.
* E above lowest polymorph: 0 meV/atom
* formation energy from the elements: 0.022 eV/atom

Below is a geometry-optimized Nd6Dy2Tm3 structure, with properties calculated at the GGA-PBE level.

Structure (POSCAR):
```
Nd6Dy2Tm3
1.0
6.2352 0.0000 0.0000
-2.0641 7.7607 0.0000
-1.0391 -2.7724 7.5110
Nd Dy Tm
6 2 3
direct
0.0474 0.1820 0.4083
0.1362 0.5464 0.2305
0.3201 0.2712 0.8655
0.6799 0.7288 0.1345
0.8638 0.4536 0.7695
0.9526 0.8180 0.5917
0.2292 0.9111 0.0469
0.7708 0.0889 0.9531
0.4095 0.6386 0.6823
0.5000 0.0000 0.5000
0.5905 0.3614 0.3177
```

* spin magnetization: 0.0 Bohr magnetons per cell
* D(E_F): 14.30 states/eV/f.u.
* E above lowest polymorph: 0 meV/atom
* formation energy from the elements: 0.018 eV/atom